# 1
Computed, not measured: an optimized crystal structure of KAl2CdP at the GGA-PBE level of DFT.

Summary:
Calculated formation energy: 0.361 eV/atom
Total moment: 0.00 μB per atom
D(E_F): 0.468 states/eV per atom
Uncorrected energy: -2.6206 eV/atom

```
KAl2CdP
1.0
4.923 0.000 0.000
0.000 4.923 0.000
0.000 0.000 5.495
K Al Cd P
1 2 1 1
Cartesian
0.000 0.000 0.000
0.000 2.461 2.748
2.461 0.000 2.748
2.461 2.461 0.000
2.461 2.461 2.748
```

# 2
Computed, not measured: an optimized crystal structure of CsHfSb2Te at the GGA-PBE level of DFT.

Summary:
Uncorrected formation energy: -0.33 eV per atom
Total moment: 0.00 μB per atom
D(E_F): 0.982 states/eV per atom
Energy above the lowest structure with this stoichiometry: 0 meV per atom
Uncorrected energy: -4.7658 eV/atom

```
CsHfSb2Te
1.0
5.634 0.000 0.000
0.000 5.634 0.000
0.000 0.000 5.739
Cs Hf Sb Te
1 1 2 1
Cartesian
0.000 0.000 0.000
2.817 2.817 2.870
0.000 2.817 2.870
2.817 0.000 2.870
2.817 2.817 0.000
```